DFT (PBE) results for a geometry-optimized Ta2Rh3 structure. Values from VASP.

- VASP energy: -9.39 eV/atom
- Density: 12.75 g cm⁻³
- Polymorph energy (0 for the lowest one): 24.3 kJ per mole of atoms
- Total magnetization: 0.000 μB per formula unit
- Space-group type: P-3m1
- Energy of formation from the pure elements: -22.7 kJ/mol of atoms

Structure (Quantum ESPRESSO input):
```
&SYSTEM
  ibrav = 0, nat = 5, ntyp = 2
/
ATOMIC_SPECIES
Ta 180.95 Ta.upf
Rh 102.91 Rh.upf
ATOMIC_POSITIONS angstrom
Ta -1.737 2.047 -0.231
Ta -1.476 2.889 3.862
Rh 0.000 0.000 0.000
Rh -1.270 3.906 1.453
Rh -1.943 1.031 2.178
CELL_PARAMETERS angstrom
-1.570 2.911 -2.778
-2.632 -1.913 2.840
0.989 3.938 3.569
```